Here is an optimized crystal structure of CePrTm2As4 from the Alexandria database. Energies are from PBE-GGA.

Summary:
Electronic total energy   -0.2300 Ha/atom
Energy relative to the elements   -1476.6 meV per atom
Space-group type   P2/m
V   25.5 A^3/atom
Total moment   0.074 μB per atom

Cell and atoms, written as POSCAR:
```
CePrTm2As4
1.0
4.168 0.000 0.000
0.000 7.193 -0.137
0.000 2.536 6.761
As Ce Pr Tm
4 1 1 2
Cartesian
2.084 3.626 5.038
4.168 2.366 1.713
2.084 6.102 1.586
0.000 7.363 4.911
0.000 4.864 3.312
2.084 3.596 -0.068
2.084 1.268 3.380
0.000 2.536 6.761
```

Here is an optimized crystal structure of CePr2Tm3As6 from the Alexandria database. Energies are from PBE-GGA.

Summary:
Electronic total energy   -0.2285 Ha/atom
Energy relative to the elements   -1483.4 meV per atom
Space-group type   C2/m
V   25.7 A^3/atom
Total moment   0.046 μB per atom

Cell and atoms, written as POSCAR:
```
CePr2Tm3As6
1.0
4.178 0.000 0.000
0.000 8.332 0.315
-2.089 -2.384 8.755
As Tm Pr Ce
6 3 2 1
Cartesian
2.089 -0.184 2.957
0.000 6.132 6.113
0.000 1.789 6.027
0.000 6.211 0.298
2.089 -0.264 8.772
2.089 4.158 3.043
2.089 4.166 0.157
0.000 6.146 3.199
2.089 -0.199 5.871
2.089 3.954 6.041
0.000 1.994 3.029
2.089 0.000 0.000
```

Here is an optimized crystal structure of Ce3Pr2TmAs6 from the Alexandria database. Energies are from PBE-GGA.

Summary:
Electronic total energy   -0.2365 Ha/atom
Energy relative to the elements   -1457.9 meV per atom
Space-group type   C2/m
V   26.6 A^3/atom
Total moment   0.158 μB per atom

Cell and atoms, written as POSCAR:
```
Ce3Pr2TmAs6
1.0
7.317 -0.001 -0.001
-3.658 6.337 -0.001
-1.222 -2.115 6.890
Pr As Ce Tm
2 6 3 1
Cartesian
0.008 4.220 -0.001
3.651 2.116 -0.001
2.377 -0.002 1.737
0.061 4.224 5.152
-1.190 2.058 1.737
2.471 4.278 1.751
-0.033 -0.057 5.138
3.628 2.163 5.152
1.219 2.111 3.445
-2.418 4.211 3.445
4.856 0.010 3.445
0.000 0.000 0.000
```

Here is an optimized crystal structure of Ce2PrTm3As6 from the Alexandria database. Energies are from PBE-GGA.

Summary:
Electronic total energy   -0.2316 Ha/atom
Energy relative to the elements   -1472.6 meV per atom
Space-group type   C2/m
V   25.4 A^3/atom
Total moment   0.107 μB per atom

Cell and atoms, written as POSCAR:
```
Ce2PrTm3As6
1.0
4.162 0.000 0.000
0.000 8.300 0.315
-2.081 -2.372 8.726
Tm As Ce Pr
3 6 2 1
Cartesian
2.081 4.150 0.158
2.081 -0.203 5.885
0.000 6.131 3.156
2.081 -0.208 8.786
2.081 4.096 3.064
0.000 1.832 5.977
0.000 6.136 0.255
0.000 6.070 6.042
2.081 -0.142 2.999
0.000 1.972 3.013
2.081 3.956 6.028
2.081 0.000 0.000
```

Copy entry 3 word for word.
Here is an optimized crystal structure of Ce3Pr2TmAs6 from the Alexandria database. Energies are from PBE-GGA.

Summary:
Electronic total energy   -0.2365 Ha/atom
Energy relative to the elements   -1457.9 meV per atom
Space-group type   C2/m
V   26.6 A^3/atom
Total moment   0.158 μB per atom

Cell and atoms, written as POSCAR:
```
Ce3Pr2TmAs6
1.0
7.317 -0.001 -0.001
-3.658 6.337 -0.001
-1.222 -2.115 6.890
Pr As Ce Tm
2 6 3 1
Cartesian
0.008 4.220 -0.001
3.651 2.116 -0.001
2.377 -0.002 1.737
0.061 4.224 5.152
-1.190 2.058 1.737
2.471 4.278 1.751
-0.033 -0.057 5.138
3.628 2.163 5.152
1.219 2.111 3.445
-2.418 4.211 3.445
4.856 0.010 3.445
0.000 0.000 0.000
```